Below is crystalline CrNi3O at its relaxed geometry, with properties calculated at the GGA+U level.

a b c (Å): 4.2576 4.2576 4.2576
angles (deg): 90.00 90.00 90.00
Space group Pm-3m (No. 221)
Symmetry-distinct sites (fractional):
Cr (0.0000, 0.0000, 0.0000) [1 per cell]
Ni (0.0000, 0.0000, 0.5000) [3 per cell]
O (0.5000, 0.5000, 0.5000) [1 per cell]

Results
crystal system: cubic
theoretical density: 5.25 g cm⁻³
E: -1.38 eV/atom